# 1
Below is a relaxed structure of EuLuZr, with properties calculated at the PBE level.

Cell and atoms, written as CIF:
```
data_EuLuZr
_chemical_formula_sum 'Eu2 Lu2 Zr2'
_symmetry_space_group_name_H-M 'I 4 m m'
_symmetry_Int_Tables_number 107
_symmetry_space_group_name_Hall 'I 4 -2'
_cell_length_a 3.4013
_cell_length_b 3.4013
_cell_length_c 15.2400
_cell_angle_alpha 90.00
_cell_angle_beta 90.00
_cell_angle_gamma 90.00
loop_
_atom_site_label
_atom_site_fract_x
_atom_site_fract_y
_atom_site_fract_z
Eu1 0.0000 0.0000 0.0000
Lu1 0.0000 0.0000 0.6909
Zr1 0.0000 0.0000 0.3304
```

## Properties
- Energy above the most stable polymorph in this dataset: 0.00 kcal/mol of atoms
- Energy relative to the elements: 0.1465 eV per atom

---

# 2
Below is a relaxed structure of EuLuZr, with properties calculated at the PBE level.

Cell and atoms, written as CIF:
```
data_EuLuZr
_chemical_formula_sum 'Eu1 Lu1 Zr1'
_symmetry_space_group_name_H-M 'P 3 m 1'
_symmetry_Int_Tables_number 156
_symmetry_space_group_name_Hall 'P 3 -2"'
_cell_length_a 3.4286
_cell_length_b 3.4286
_cell_length_c 8.5871
_cell_angle_alpha 90.00
_cell_angle_beta 90.00
_cell_angle_gamma 120.00
loop_
_atom_site_label
_atom_site_fract_x
_atom_site_fract_y
_atom_site_fract_z
Eu1 0.0000 0.0000 0.0000
Lu1 0.3333 0.6667 0.6262
Zr1 0.6667 0.3333 0.3328
```

## Properties
- Energy above the most stable polymorph in this dataset: 0.45 kcal/mol of atoms
- Energy relative to the elements: 0.1659 eV per atom

---

# 3
Below is a relaxed structure of Eu5Mg, with properties calculated at the PBE level.

Cell and atoms, written as CIF:
```
data_Eu5Mg
_chemical_formula_sum 'Eu10 Mg2'
_symmetry_space_group_name_H-M 'C m m m'
_symmetry_Int_Tables_number 65
_symmetry_space_group_name_Hall '-C 2 2'
_cell_length_a 4.2175
_cell_length_b 18.0014
_cell_length_c 6.1239
_cell_angle_alpha 90.00
_cell_angle_beta 90.00
_cell_angle_gamma 90.00
loop_
_atom_site_label
_atom_site_fract_x
_atom_site_fract_y
_atom_site_fract_z
Eu1 0.0000 0.0000 0.0000
Eu2 0.0000 0.1585 0.5000
Eu3 0.0000 0.3331 0.0000
Mg1 0.0000 0.5000 0.5000
```

## Properties
- Energy above the most stable polymorph in this dataset: 0.09 kcal/mol of atoms
- Energy relative to the elements: 0.0232 eV per atom

---

# 4
Below is a relaxed structure of Eu5Mg, with properties calculated at the PBE level.

Cell and atoms, written as CIF:
```
data_Eu5Mg
_chemical_formula_sum 'Eu5 Mg1'
_symmetry_space_group_name_H-M 'P -6 2 m'
_symmetry_Int_Tables_number 189
_symmetry_space_group_name_Hall 'P -6 -2'
_cell_length_a 6.5998
_cell_length_b 6.5998
_cell_length_c 6.1235
_cell_angle_alpha 90.00
_cell_angle_beta 90.00
_cell_angle_gamma 120.00
loop_
_atom_site_label
_atom_site_fract_x
_atom_site_fract_y
_atom_site_fract_z
Eu1 0.0000 0.6795 0.0000
Eu2 0.3333 0.6667 0.5000
Mg1 0.0000 0.0000 0.5000
```

## Properties
- Energy above the most stable polymorph in this dataset: 0.00 kcal/mol of atoms
- Energy relative to the elements: 0.0195 eV per atom

---

# 5
Below is a relaxed structure of EuMg6, with properties calculated at the PBE level.

Cell and atoms, written as CIF:
```
data_EuMg6
_chemical_formula_sum 'Eu2 Mg12'
_symmetry_space_group_name_H-M 'I m -3 m'
_symmetry_Int_Tables_number 229
_symmetry_space_group_name_Hall '-I 4 2 3'
_cell_length_a 7.9523
_cell_length_b 7.9523
_cell_length_c 7.9523
_cell_angle_alpha 90.00
_cell_angle_beta 90.00
_cell_angle_gamma 90.00
loop_
_atom_site_label
_atom_site_fract_x
_atom_site_fract_y
_atom_site_fract_z
Eu1 0.0000 0.0000 0.0000
Mg1 0.0000 0.2500 0.5000
```

## Properties
- Energy relative to the elements: 0.5293 eV per atom

---

# 6
Below is a relaxed structure of Eu3MgN, with properties calculated at the PBE level.

Cell and atoms, written as CIF:
```
data_Eu3MgN
_chemical_formula_sum 'Eu3 Mg1 N1'
_symmetry_space_group_name_H-M 'P m -3 m'
_symmetry_Int_Tables_number 221
_symmetry_space_group_name_Hall '-P 4 2 3'
_cell_length_a 5.1460
_cell_length_b 5.1460
_cell_length_c 5.1460
_cell_angle_alpha 90.00
_cell_angle_beta 90.00
_cell_angle_gamma 90.00
loop_
_atom_site_label
_atom_site_fract_x
_atom_site_fract_y
_atom_site_fract_z
Eu1 0.0000 0.0000 0.5000
Mg1 0.5000 0.5000 0.5000
N1 0.0000 0.0000 0.0000
```

## Properties
- Uncorrected formation energy: -2.15 eV/f.u.

---

# 7
Below is a relaxed structure of EuMg2N, with properties calculated at the PBE level.

Cell and atoms, written as CIF:
```
data_EuMg2N
_chemical_formula_sum 'Eu3 Mg6 N3'
_symmetry_space_group_name_H-M 'R -3 m'
_symmetry_Int_Tables_number 166
_symmetry_space_group_name_Hall '-R 3 2"'
_cell_length_a 3.3082
_cell_length_b 3.3082
_cell_length_c 27.6703
_cell_angle_alpha 90.00
_cell_angle_beta 90.00
_cell_angle_gamma 120.00
loop_
_atom_site_label
_atom_site_fract_x
_atom_site_fract_y
_atom_site_fract_z
Eu1 0.0000 0.0000 0.0000
Mg1 0.0000 0.0000 0.1293
N1 0.0000 0.0000 0.5000
```

## Properties
- Uncorrected formation energy: -0.76 eV/f.u.

---

# 8
Below is a relaxed structure of EuMgN, with properties calculated at the PBE level.

Cell and atoms, written as CIF:
```
data_EuMgN
_chemical_formula_sum 'Eu1 Mg1 N1'
_symmetry_space_group_name_H-M 'P 3 m 1'
_symmetry_Int_Tables_number 156
_symmetry_space_group_name_Hall 'P 3 -2"'
_cell_length_a 3.4553
_cell_length_b 3.4553
_cell_length_c 5.8770
_cell_angle_alpha 90.00
_cell_angle_beta 90.00
_cell_angle_gamma 120.00
loop_
_atom_site_label
_atom_site_fract_x
_atom_site_fract_y
_atom_site_fract_z
Eu1 0.0000 0.0000 0.0000
Mg1 0.6667 0.3333 0.4165
N1 0.3333 0.6667 0.2320
```

## Properties
- Uncorrected formation energy: -1.69 eV/f.u.

---

# 9
Below is a relaxed structure of NaEuMg, with properties calculated at the PBE level.

Cell and atoms, written as CIF:
```
data_NaEuMg
_chemical_formula_sum 'Na1 Eu1 Mg1'
_symmetry_space_group_name_H-M 'P 3 m 1'
_symmetry_Int_Tables_number 156
_symmetry_space_group_name_Hall 'P 3 -2"'
_cell_length_a 5.6925
_cell_length_b 5.6925
_cell_length_c 3.5620
_cell_angle_alpha 90.00
_cell_angle_beta 90.00
_cell_angle_gamma 120.00
loop_
_atom_site_label
_atom_site_fract_x
_atom_site_fract_y
_atom_site_fract_z
Na1 0.0000 0.0000 0.0000
Eu1 0.6667 0.3333 0.5016
Mg1 0.3333 0.6667 0.0009
```

## Properties
- Energy relative to the elements: 0.0653 eV per atom

---

# 10
Below is a relaxed structure of Na4EuMg, with properties calculated at the PBE level.

Cell and atoms, written as CIF:
```
data_Na4EuMg
_chemical_formula_sum 'Na16 Eu4 Mg4'
_symmetry_space_group_name_H-M 'F -4 3 m'
_symmetry_Int_Tables_number 216
_symmetry_space_group_name_Hall 'F -4 2 3'
_cell_length_a 9.3846
_cell_length_b 9.3846
_cell_length_c 9.3846
_cell_angle_alpha 90.00
_cell_angle_beta 90.00
_cell_angle_gamma 90.00
loop_
_atom_site_label
_atom_site_fract_x
_atom_site_fract_y
_atom_site_fract_z
Na1 0.1240 0.1240 0.1240
Eu1 0.0000 0.0000 0.5000
Mg1 0.2500 0.2500 0.7500
```

## Properties
- Energy relative to the elements: 0.1222 eV per atom

---

# 11
Below is a relaxed structure of NaEuMg4, with properties calculated at the PBE level.

Cell and atoms, written as CIF:
```
data_NaEuMg4
_chemical_formula_sum 'Na4 Eu4 Mg16'
_symmetry_space_group_name_H-M 'F -4 3 m'
_symmetry_Int_Tables_number 216
_symmetry_space_group_name_Hall 'F -4 2 3'
_cell_length_a 8.8174
_cell_length_b 8.8174
_cell_length_c 8.8174
_cell_angle_alpha 90.00
_cell_angle_beta 90.00
_cell_angle_gamma 90.00
loop_
_atom_site_label
_atom_site_fract_x
_atom_site_fract_y
_atom_site_fract_z
Na1 0.0000 0.0000 0.0000
Eu1 0.2500 0.2500 0.2500
Mg1 0.1250 0.1250 0.6250
```

## Properties
- Energy relative to the elements: -0.0098 eV per atom

---

# 12
Below is a relaxed structure of NaEuMg, with properties calculated at the PBE level.

Cell and atoms, written as CIF:
```
data_NaEuMg
_chemical_formula_sum 'Na2 Eu2 Mg2'
_symmetry_space_group_name_H-M 'I 4 m m'
_symmetry_Int_Tables_number 107
_symmetry_space_group_name_Hall 'I 4 -2'
_cell_length_a 4.0794
_cell_length_b 4.0794
_cell_length_c 12.2601
_cell_angle_alpha 90.00
_cell_angle_beta 90.00
_cell_angle_gamma 90.00
loop_
_atom_site_label
_atom_site_fract_x
_atom_site_fract_y
_atom_site_fract_z
Na1 0.0000 0.0000 0.0000
Eu1 0.0000 0.0000 0.6960
Mg1 0.0000 0.0000 0.3612
```

## Properties
- Energy relative to the elements: 0.0635 eV per atom

---

# 13
Below is a relaxed structure of NaEuMgPb, with properties calculated at the PBE level.

Cell and atoms, written as CIF:
```
data_NaEuMgPb
_chemical_formula_sum 'Na4 Eu4 Mg4 Pb4'
_symmetry_space_group_name_H-M 'F -4 3 m'
_symmetry_Int_Tables_number 216
_symmetry_space_group_name_Hall 'F -4 2 3'
_cell_length_a 7.7677
_cell_length_b 7.7677
_cell_length_c 7.7677
_cell_angle_alpha 90.00
_cell_angle_beta 90.00
_cell_angle_gamma 90.00
loop_
_atom_site_label
_atom_site_fract_x
_atom_site_fract_y
_atom_site_fract_z
Na1 0.0000 0.0000 0.0000
Eu1 0.0000 0.0000 0.5000
Mg1 0.2500 0.2500 0.7500
Pb1 0.2500 0.2500 0.2500
```

## Properties
- Energy relative to the elements: -0.2048 eV per atom

---

# 14
Below is a relaxed structure of Na2EuMg2Pb2, with properties calculated at the PBE level.

Cell and atoms, written as CIF:
```
data_Na2EuMg2Pb2
_chemical_formula_sum 'Na2 Eu1 Mg2 Pb2'
_symmetry_space_group_name_H-M 'P -1'
_symmetry_Int_Tables_number 2
_symmetry_space_group_name_Hall '-P 1'
_cell_length_a 5.2633
_cell_length_b 5.2800
_cell_length_c 8.8337
_cell_angle_alpha 107.15
_cell_angle_beta 90.05
_cell_angle_gamma 119.86
loop_
_atom_site_label
_atom_site_fract_x
_atom_site_fract_y
_atom_site_fract_z
Na1 0.0781 0.1564 0.2328
Eu1 0.5000 0.0000 0.5000
Mg1 0.3623 0.7244 0.0858
Pb1 0.2406 0.4806 0.7238
```

## Properties
- Energy relative to the elements: -0.2064 eV per atom

---

# 15
Below is a relaxed structure of NaPmEuMg, with properties calculated at the PBE level.

Cell and atoms, written as CIF:
```
data_NaPmEuMg
_chemical_formula_sum 'Na4 Pm4 Eu4 Mg4'
_symmetry_space_group_name_H-M 'F -4 3 m'
_symmetry_Int_Tables_number 216
_symmetry_space_group_name_Hall 'F -4 2 3'
_cell_length_a 8.0947
_cell_length_b 8.0947
_cell_length_c 8.0947
_cell_angle_alpha 90.00
_cell_angle_beta 90.00
_cell_angle_gamma 90.00
loop_
_atom_site_label
_atom_site_fract_x
_atom_site_fract_y
_atom_site_fract_z
Na1 0.0000 0.0000 0.0000
Pm1 0.2500 0.2500 0.2500
Eu1 0.2500 0.2500 0.7500
Mg1 0.0000 0.0000 0.5000
```

## Properties
- Energy relative to the elements: 0.1202 eV per atom